1.
This record from Alexandria describes TlTe4 after structural relaxation. The functional is GGA-PBE.

Lattice parameters (Å, degrees): 6.1591 6.1591 6.1591 109.47 109.47 109.47
Last column: nearest neighbours and their distance in Å.
Sites, in units of the cell vectors:
Te (0.0000, 0.0000, 0.5000)  2 Tl 3.08
Te (0.5000, 0.0000, 0.0000)  2 Tl 3.08
Te (0.0000, 0.5000, 0.0000)  2 Tl 3.08
Te (0.5000, 0.5000, 0.5000)  2 Tl 3.08
Tl (0.0000, 0.0000, 0.0000)  8 Te 3.08

density of states at the Fermi level: 5.45 states/eV/cell
space group: Im-3m
ΔE to the lowest computed polymorph: 0.0 meV per atom

2.
This record from Alexandria describes K2USbO6 after structural relaxation. The functional is GGA-PBE.

Lattice parameters (Å, degrees): 5.9116 5.9117 5.9117 60.00 60.00 90.00
Last column: nearest neighbours and their distance in Å.
Sites, in units of the cell vectors:
O (0.2578, 0.2578, 0.4843)  1 Sb 2.02, 1 U 2.16
O (0.2578, 0.2579, 0.0000)  1 Sb 2.02, 1 U 2.16
O (0.7421, 0.2578, 0.0000)  1 Sb 2.02, 1 U 2.16
O (0.7422, 0.7422, 0.5157)  1 Sb 2.02, 1 U 2.16
O (0.7422, 0.7421, 0.0000)  1 Sb 2.02, 1 U 2.16
O (0.2579, 0.7422, 0.0000)  1 Sb 2.02, 1 U 2.16
Sb (0.5000, 0.5000, 0.0000)  6 O 2.02
K (0.7500, 0.2500, 0.4999)  12 O 2.96
K (0.2500, 0.7500, 0.5001)  12 O 2.96
U (0.0000, 0.0000, 0.0000)  6 O 2.16

uncorrected energy: -7.008 eV per atom
density of states at the Fermi level: 1.67 states/eV/cell
space group: Fm-3m

3.
This record from Alexandria describes LiAg2Au4 after structural relaxation. The functional is GGA-PBE.

Lattice parameters (Å, degrees): 4.1007 5.0328 7.7433 95.40 58.03 114.19
Last column: nearest neighbours and their distance in Å.
Sites, in units of the cell vectors:
Au (0.8488, 0.9233, 0.8624)  6 Au 2.86-2.93, 3 Li 2.87-2.93, 3 Ag 2.92-2.97
Au (0.1512, 0.0767, 0.1376)  6 Au 2.86-2.93, 3 Li 2.87-2.93, 3 Ag 2.92-2.97
Au (0.2862, 0.6387, 0.2831)  5 Au 2.86-2.93, 5 Ag 2.88-2.96, 2 Li 2.90-2.91
Au (0.7138, 0.3613, 0.7169)  5 Au 2.86-2.93, 5 Ag 2.88-2.96, 2 Li 2.90-2.91
Ag (0.4314, 0.2132, 0.4254)  8 Au 2.88-2.97, 1 Li 2.89, 3 Ag 2.89-2.95
Ag (0.5686, 0.7868, 0.5746)  8 Au 2.88-2.97, 1 Li 2.89, 3 Ag 2.89-2.95
Li (0.0000, 0.5000, 0.0000)  10 Au 2.87-2.93, 2 Ag 2.89

energy of formation from the pure elements: -0.20 eV/atom
density of states at the Fermi level: 1.91 states/eV/cell
space group: P-1
ΔE to the lowest computed polymorph: 0.0 meV per atom

4.
This record from Alexandria describes Be5Cu2Ni after structural relaxation. The functional is GGA-PBE.

Lattice parameters (Å, degrees): 3.6278 3.6278 6.1270 107.22 107.22 90.00
Last column: nearest neighbours and their distance in Å.
Sites, in units of the cell vectors:
Ni (0.0000, 0.0000, 0.0000)  8 Be 2.23
Be (0.3839, 0.8839, 0.7678)  2 Be 2.23, 2 Ni 2.23, 4 Cu 2.33-2.37
Be (0.6161, 0.1161, 0.2322)  2 Ni 2.23, 2 Be 2.23, 4 Cu 2.33-2.37
Be (0.8839, 0.3839, 0.7678)  2 Be 2.23, 2 Ni 2.23, 4 Cu 2.33-2.37
Be (0.1161, 0.6161, 0.2322)  2 Be 2.23, 2 Ni 2.23, 4 Cu 2.33-2.37
Be (0.5000, 0.5000, 0.0000)  8 Be 2.23
Cu (0.2469, 0.2469, 0.4937)  8 Be 2.33-2.37, 4 Cu 2.57
Cu (0.7531, 0.7531, 0.5063)  8 Be 2.33-2.37, 4 Cu 2.57

energy of formation from the pure elements: -0.18 eV/atom
density of states at the Fermi level: 1.45 states/eV/cell
space group: I4/mmm